1.
A relaxed BeSn3Hg crystal, computed with PBE.

Cell lengths 5.5648, 5.5648, 5.5648 Å; angles 90.00, 90.00, 90.00 degrees
Fractional positions:
Sn: 0.5000 0.0000 0.0000
Sn: 0.0000 0.0000 0.5000
Sn: 0.0000 0.5000 0.0000
Hg: 0.0000 0.0000 0.0000
Be: 0.5000 0.5000 0.5000

Computed properties:
formation energy	1.089	eV per atom
offset from the most stable computed form	777	meV/atom
crystal system	cubic



2.
A relaxed HfTi3Zn8 crystal, computed with PBE.

Cell lengths 5.1162, 5.1162, 8.2159 Å; angles 90.00, 90.00, 120.00 degrees
Each line ends with the local moment (μB).
Fractional positions:
Ti: 0.6667 0.3333 0.0666  0.96
Ti: 0.0000 0.0000 0.9364  1.02
Ti: 0.6667 0.3333 0.4286  1.07
Zn: 0.3333 0.6667 0.4997  0.00
Zn: 0.5052 0.4948 0.7525  0.01
Zn: 0.6766 0.8383 0.2480  0.00
Zn: 0.1617 0.3234 0.2480  0.00
Zn: 0.9895 0.4948 0.7525  0.01
Zn: 0.3333 0.6667 0.0008  0.00
Zn: 0.1617 0.8383 0.2480  0.00
Zn: 0.5052 0.0105 0.7525  0.01
Hf: 0.0000 0.0000 0.5665  0.44

Computed properties:
formation energy	-0.194	eV per atom
crystal system	trigonal